Record 1
A relaxed structure of LaPmErAg. Source: Alexandria, functional PBE.

It has space group P4mm (No. 99), with a = 3.682 Å, b = 3.682 Å, c = 8.768 Å, α = 90.00°, β = 90.00° and γ = 90.00°. Symmetry generates all atoms from La at (0.000, 0.000, 0.000), Pm at (0.500, 0.500, 0.702), Er at (0.500, 0.500, 0.290) and Ag at (0.000, 0.000, 0.479).

As for the total magnetization: 0.00 μB per cell. The value obtained for the relative energy among the computed polymorphs is 0.000 eV per atom. Its calculated total energy is -4.395 eV/atom.

***

Record 2
A relaxed structure of La2Pm2ErAg5. Source: Alexandria, functional PBE.

It has space group P4/mbm (No. 127), with a = 11.153 Å, b = 11.153 Å, c = 4.250 Å, α = 90.00°, β = 90.00° and γ = 90.00°. Symmetry generates all atoms from La at (0.173, 0.327, 0.000), Pm at (0.130, 0.630, 0.000), Er at (0.000, 0.000, 0.000), Ag at (0.000, 0.500, 0.500) and Ag at (0.060, 0.817, 0.500).

As for the total magnetization: 0.00 μB per cell. Its calculated total energy is -3.950 eV/atom.

***

Record 3
A relaxed structure of LaPrErAg. Source: Alexandria, functional PBE.

It has space group F-43m (No. 216), with a = 7.829 Å, b = 7.829 Å, c = 7.829 Å, α = 90.00°, β = 90.00° and γ = 90.00°. Symmetry generates all atoms from La at (0.000, 0.000, 0.000), Pr at (0.000, 0.000, 0.500), Er at (0.250, 0.250, 0.750) and Ag at (0.250, 0.250, 0.250).

As for the total magnetization: 0.00 μB per cell. The value obtained for the relative energy among the computed polymorphs is 0.173 eV per atom. Its calculated total energy is -4.235 eV/atom.

***

Record 4
A relaxed structure of LaPrErAg. Source: Alexandria, functional PBE.

It has space group P4mm (No. 99), with a = 3.684 Å, b = 3.684 Å, c = 8.965 Å, α = 90.00°, β = 90.00° and γ = 90.00°. Symmetry generates all atoms from La at (0.000, 0.000, 0.000), Pr at (0.500, 0.500, 0.301), Er at (0.000, 0.000, 0.582) and Ag at (0.500, 0.500, 0.763).

As for the total magnetization: 0.00 μB per cell. The value obtained for the relative energy among the computed polymorphs is 0.000 eV per atom. Its calculated total energy is -4.408 eV/atom.

***

Record 5
A relaxed structure of LaErAgPt. Source: Alexandria, functional PBE.

It has space group F-43m (No. 216), with a = 7.270 Å, b = 7.270 Å, c = 7.270 Å, α = 90.00°, β = 90.00° and γ = 90.00°. Symmetry generates all atoms from La at (0.000, 0.000, 0.000), Er at (0.000, 0.000, 0.500), Ag at (0.250, 0.250, 0.750) and Pt at (0.250, 0.250, 0.250).

As for the total magnetization: 0.00 μB per cell. Its calculated total energy is -5.311 eV/atom.

***

Record 6
A relaxed structure of LaErScAg. Source: Alexandria, functional PBE.

It has space group F-43m (No. 216), with a = 7.582 Å, b = 7.582 Å, c = 7.582 Å, α = 90.00°, β = 90.00° and γ = 90.00°. Symmetry generates all atoms from La at (0.000, 0.000, 0.000), Er at (0.000, 0.000, 0.500), Sc at (0.250, 0.250, 0.250) and Ag at (0.250, 0.250, 0.750).

As for the total magnetization: 0.00 μB per cell. Its calculated total energy is -4.622 eV/atom.

***

Energy of formation from the pure elements for every record listed, in sequence, given in meV per atom: -121.5 -132.5 45.2 -128.1 -715.5 46.2.